1.
First-principles (PBE) data for a geometry-optimized CdHPtPb2 structure, as listed in the Alexandria database.

space group = P4/mmm, No. 123
final energy = -3.5279 eV per atom

a = 5.706 Å, b = 5.706 Å, c = 3.393 Å
α = 90.00°, β = 90.00°, γ = 90.00°
Fractional positions:
Pb1 0.000 0.500 0.000
Pb2 0.500 0.000 0.000
H1 0.000 0.000 0.500
Pt1 0.000 0.000 0.000
Cd1 0.500 0.500 0.500

---

2.
First-principles (PBE) data for a geometry-optimized CoPNCl2 structure, as listed in the Alexandria database.

space group = P4/mmm, No. 123
final energy = -3.4929 eV per atom
E_form (uncorrected) = 1.414 eV/atom
energy above the most stable polymorph in this dataset = 0.317 eV/atom

a = 4.426 Å, b = 4.426 Å, c = 4.407 Å
α = 90.00°, β = 90.00°, γ = 90.00°
Fractional positions:
P1 0.000 0.000 0.500
N1 0.500 0.500 0.500
Co1 0.000 0.000 0.000
Cl1 0.000 0.500 0.000
Cl2 0.500 0.000 0.000

---

3.
First-principles (PBE) data for a geometry-optimized P2OsPd structure, as listed in the Alexandria database.

E_form = 0.83 eV per formula unit
space group = Fm-3m, No. 225
final energy = -6.6025 eV per atom
energy above the most stable polymorph in this dataset = 0.331 eV/atom

a = 4.279 Å, b = 4.279 Å, c = 4.279 Å
α = 60.00°, β = 60.00°, γ = 60.00°
Each line ends with the local moment (μB).
Fractional positions:
P1 0.250 0.250 0.250  0.01
P2 0.750 0.750 0.750  0.01
Os1 0.500 0.500 0.500  0.08
Pd1 0.000 0.000 0.000  0.04